No. 1
Material: PuNpAs2
Method: DFT, PBE
State: optimized geometry

Values from the calculation:
offset from the most stable computed form = 63 kJ/mol of formula units
ΔH_f (0 K) = -693 meV per atom

Structure (CIF):
```
data_PuNpAs2
_chemical_formula_sum 'Pu4 Np4 As8'
_cell_length_a 7.0165
_cell_length_b 7.0165
_cell_length_c 7.0165
_cell_angle_alpha 90.00
_cell_angle_beta 90.00
_cell_angle_gamma 90.00
_space_group_name_H-M_alt 'F m -3 m'
_space_group_IT_number 225
_space_group_name_Hall '-F 4 2 3'
loop_
_atom_site_label
_atom_site_type_symbol
_atom_site_fract_x
_atom_site_fract_y
_atom_site_fract_z
Pu1 Pu 0.0000 0.0000 0.0000
Np1 Np 0.0000 0.0000 0.5000
As1 As 0.2500 0.2500 0.2500
```

---

No. 2
Material: PuNp2As3
Method: DFT, PBE
State: optimized geometry

Values from the calculation:
ΔH_f (0 K) = -799 meV per atom

Structure (CIF):
```
data_PuNp2As3
_chemical_formula_sum 'Pu2 Np4 As6'
_cell_length_a 4.1161
_cell_length_b 5.8273
_cell_length_c 12.3840
_cell_angle_alpha 90.00
_cell_angle_beta 90.00
_cell_angle_gamma 90.00
_space_group_name_H-M_alt 'I m m m'
_space_group_IT_number 71
_space_group_name_Hall '-I 2 2'
loop_
_atom_site_label
_atom_site_type_symbol
_atom_site_fract_x
_atom_site_fract_y
_atom_site_fract_z
Pu1 Pu 0.0000 0.0000 0.0000
Np1 Np 0.0000 0.0000 0.3338
As1 As 0.0000 0.5000 0.0000
As2 As 0.0000 0.5000 0.3317
```

---

No. 3
Material: Pu2NpAs4
Method: DFT, PBE
State: optimized geometry

Values from the calculation:
ΔH_f (0 K) = -624 meV per atom

Structure (CIF):
```
data_Pu2NpAs4
_chemical_formula_sum 'Pu8 Np4 As16'
_cell_length_a 4.1815
_cell_length_b 14.0590
_cell_length_c 11.8476
_cell_angle_alpha 90.00
_cell_angle_beta 90.00
_cell_angle_gamma 90.00
_space_group_name_H-M_alt 'C m c m'
_space_group_IT_number 63
_space_group_name_Hall '-C 2c 2'
loop_
_atom_site_label
_atom_site_type_symbol
_atom_site_fract_x
_atom_site_fract_y
_atom_site_fract_z
Pu1 Pu 0.0000 0.1316 0.0622
Np1 Np 0.0000 0.3900 0.2500
As1 As 0.0000 0.0186 0.2500
As2 As 0.0000 0.2356 0.6436
As3 As 0.0000 0.5000 0.0000
```

---

No. 4
Material: PuNpAs2
Method: DFT, PBE
State: optimized geometry

Values from the calculation:
offset from the most stable computed form = 15 kJ/mol of formula units
ΔH_f (0 K) = -815 meV per atom

Structure (CIF):
```
data_PuNpAs2
_chemical_formula_sum 'Pu3 Np3 As6'
_cell_length_a 4.1076
_cell_length_b 4.1076
_cell_length_c 20.2978
_cell_angle_alpha 90.00
_cell_angle_beta 90.00
_cell_angle_gamma 120.00
_space_group_name_H-M_alt 'R -3 m'
_space_group_IT_number 166
_space_group_name_Hall '-R 3 2"'
loop_
_atom_site_label
_atom_site_type_symbol
_atom_site_fract_x
_atom_site_fract_y
_atom_site_fract_z
Pu1 Pu 0.0000 0.0000 0.0000
Np1 Np 0.0000 0.0000 0.5000
As1 As 0.0000 0.0000 0.2492
```

---

No. 5
Material: Pu2NpAs3
Method: DFT, PBE
State: optimized geometry

Values from the calculation:
ΔH_f (0 K) = -911 meV per atom

Structure (CIF):
```
data_Pu2NpAs3
_chemical_formula_sum 'Pu4 Np2 As6'
_cell_length_a 4.1280
_cell_length_b 5.8410
_cell_length_c 12.4018
_cell_angle_alpha 90.00
_cell_angle_beta 90.00
_cell_angle_gamma 90.00
_space_group_name_H-M_alt 'I m m m'
_space_group_IT_number 71
_space_group_name_Hall '-I 2 2'
loop_
_atom_site_label
_atom_site_type_symbol
_atom_site_fract_x
_atom_site_fract_y
_atom_site_fract_z
Pu1 Pu 0.0000 0.0000 0.1672
Np1 Np 0.0000 0.0000 0.5000
As1 As 0.0000 0.5000 0.1647
As2 As 0.0000 0.5000 0.5000
```

---

No. 6
Material: Pu2NpAs3Rh4
Method: DFT, PBE
State: optimized geometry

Values from the calculation:
ΔH_f (0 K) = -643 meV per atom

Structure (CIF):
```
data_Pu2NpAs3Rh4
_chemical_formula_sum 'Pu2 Np1 As3 Rh4'
_cell_length_a 4.1168
_cell_length_b 4.1168
_cell_length_c 11.3143
_cell_angle_alpha 90.00
_cell_angle_beta 90.00
_cell_angle_gamma 90.00
_space_group_name_H-M_alt 'P -4 m 2'
_space_group_IT_number 115
_space_group_name_Hall 'P -4 -2'
loop_
_atom_site_label
_atom_site_type_symbol
_atom_site_fract_x
_atom_site_fract_y
_atom_site_fract_z
Pu1 Pu 0.0000 0.5000 0.2332
Np1 Np 0.0000 0.0000 0.5000
As1 As 0.0000 0.5000 0.8726
As2 As 0.5000 0.5000 0.5000
Rh1 Rh 0.0000 0.0000 0.0000
Rh2 Rh 0.0000 0.5000 0.6568
Rh3 Rh 0.5000 0.5000 0.0000
```

---

No. 7
Material: PuNpAsS
Method: DFT, PBE
State: optimized geometry

Values from the calculation:
formation energy from raw total energies = -27.9 kcal/mol of atoms

Structure (CIF):
```
data_PuNpAsS
_chemical_formula_sum 'Pu3 Np3 As3 S3'
_cell_length_a 4.0512
_cell_length_b 4.0512
_cell_length_c 19.6720
_cell_angle_alpha 90.00
_cell_angle_beta 90.00
_cell_angle_gamma 120.00
_space_group_name_H-M_alt 'R 3 m'
_space_group_IT_number 160
_space_group_name_Hall 'R 3 -2"'
loop_
_atom_site_label
_atom_site_type_symbol
_atom_site_fract_x
_atom_site_fract_y
_atom_site_fract_z
Pu1 Pu 0.0000 0.0000 0.0000
Np1 Np 0.0000 0.0000 0.4932
As1 As 0.0000 0.0000 0.2456
S1 S 0.0000 0.0000 0.7475
```

---

No. 8
Material: PuNp2ScAs4
Method: DFT, PBE
State: optimized geometry

Values from the calculation:
ΔH_f (0 K) = -929 meV per atom

Structure (CIF):
```
data_PuNp2ScAs4
_chemical_formula_sum 'Pu1 Np2 Sc1 As4'
_cell_length_a 7.0122
_cell_length_b 4.0557
_cell_length_c 7.0603
_cell_angle_alpha 90.00
_cell_angle_beta 109.30
_cell_angle_gamma 90.00
_space_group_name_H-M_alt 'P 1 2/m 1'
_space_group_IT_number 10
_space_group_name_Hall '-P 2y'
loop_
_atom_site_label
_atom_site_type_symbol
_atom_site_fract_x
_atom_site_fract_y
_atom_site_fract_z
Pu1 Pu 0.0000 0.0000 0.0000
Np1 Np 0.0000 0.5000 0.5000
Np2 Np 0.5000 0.0000 0.5000
Sc1 Sc 0.5000 0.5000 0.0000
As1 As 0.2563 0.5000 0.2466
As2 As 0.2593 0.0000 0.7577
```

---

No. 9
Material: PuNpSc2As4
Method: DFT, PBE
State: optimized geometry

Values from the calculation:
ΔH_f (0 K) = -1084 meV per atom

Structure (CIF):
```
data_PuNpSc2As4
_chemical_formula_sum 'Pu1 Np1 Sc2 As4'
_cell_length_a 6.8968
_cell_length_b 3.9980
_cell_length_c 6.9511
_cell_angle_alpha 90.00
_cell_angle_beta 109.52
_cell_angle_gamma 90.00
_space_group_name_H-M_alt 'P 1 2/m 1'
_space_group_IT_number 10
_space_group_name_Hall '-P 2y'
loop_
_atom_site_label
_atom_site_type_symbol
_atom_site_fract_x
_atom_site_fract_y
_atom_site_fract_z
Pu1 Pu 0.0000 0.0000 0.0000
Np1 Np 0.0000 0.5000 0.5000
Sc1 Sc 0.5000 0.0000 0.5000
Sc2 Sc 0.5000 0.5000 0.0000
As1 As 0.2638 0.5000 0.2562
As2 As 0.2646 0.0000 0.7531
```

---

No. 10
Material: Pu2NpScAs4
Method: DFT, PBE
State: optimized geometry

Values from the calculation:
ΔH_f (0 K) = -986 meV per atom

Structure (CIF):
```
data_Pu2NpScAs4
_chemical_formula_sum 'Pu2 Np1 Sc1 As4'
_cell_length_a 7.0326
_cell_length_b 4.0741
_cell_length_c 7.0327
_cell_angle_alpha 90.00
_cell_angle_beta 109.41
_cell_angle_gamma 90.00
_space_group_name_H-M_alt 'P 1 2/m 1'
_space_group_IT_number 10
_space_group_name_Hall '-P 2y'
loop_
_atom_site_label
_atom_site_type_symbol
_atom_site_fract_x
_atom_site_fract_y
_atom_site_fract_z
Pu1 Pu 0.0000 0.0000 0.0000
Pu2 Pu 0.0000 0.5000 0.5000
Np1 Np 0.5000 0.0000 0.5000
Sc1 Sc 0.5000 0.5000 0.0000
As1 As 0.2584 0.5000 0.2464
As2 As 0.2615 0.0000 0.7574
```

---

No. 11
Material: PuNpAsSe
Method: DFT, PBE
State: optimized geometry

Values from the calculation:
offset from the most stable computed form = 70 kJ/mol of formula units
formation energy from raw total energies = -21.1 kcal/mol of atoms

Structure (CIF):
```
data_PuNpAsSe
_chemical_formula_sum 'Pu4 Np4 As4 Se4'
_cell_length_a 7.0749
_cell_length_b 7.0749
_cell_length_c 7.0749
_cell_angle_alpha 90.00
_cell_angle_beta 90.00
_cell_angle_gamma 90.00
_space_group_name_H-M_alt 'F -4 3 m'
_space_group_IT_number 216
_space_group_name_Hall 'F -4 2 3'
loop_
_atom_site_label
_atom_site_type_symbol
_atom_site_fract_x
_atom_site_fract_y
_atom_site_fract_z
Pu1 Pu 0.0000 0.0000 0.0000
Np1 Np 0.0000 0.0000 0.5000
As1 As 0.2500 0.2500 0.2500
Se1 Se 0.2500 0.2500 0.7500
```

---

No. 12
Material: PuNpAsSe
Method: DFT, PBE
State: optimized geometry

Values from the calculation:
offset from the most stable computed form = 0 kJ/mol of formula units
formation energy from raw total energies = -25.3 kcal/mol of atoms

Structure (CIF):
```
data_PuNpAsSe
_chemical_formula_sum 'Pu3 Np3 As3 Se3'
_cell_length_a 4.1379
_cell_length_b 4.1379
_cell_length_c 20.2403
_cell_angle_alpha 90.00
_cell_angle_beta 90.00
_cell_angle_gamma 120.00
_space_group_name_H-M_alt 'R 3 m'
_space_group_IT_number 160
_space_group_name_Hall 'R 3 -2"'
loop_
_atom_site_label
_atom_site_type_symbol
_atom_site_fract_x
_atom_site_fract_y
_atom_site_fract_z
Pu1 Pu 0.0000 0.0000 0.0000
Np1 Np 0.0000 0.0000 0.5030
As1 As 0.0000 0.0000 0.2505
Se1 Se 0.0000 0.0000 0.7522
```

---

Total magnetization, record by record: 8.95 12.83 13.04 1.46 13.92 14.65 9.48 12.74 1.49 3.56 9.93 9.63 μB/f.u.